Compound: CuSiAs
Source: Alexandria
Functional: GGA-PBE
Structure: optimized geometry

Properties
**E_form (uncorrected)**: 0.128 eV/atom

a b c (Å): 3.9929 4.2454 6.5297
angles (deg): 88.94 72.31 89.51
With the nearest neighbours (Å) after each atom.
Space group P1 (No. 1)
One atom of each set of equivalent atoms:
Cu (0.0000, 0.0000, 0.0000)  2 Si 2.41-2.62, 3 As 2.42-2.53
Cu (0.0922, 0.5852, 0.4125)  2 As 2.46-2.51, 4 Si 2.47-2.54
Si (0.5901, 0.9456, 0.3970)  2 Si 2.46-2.48, 3 Cu 2.50-2.62, 2 As 2.50-2.52
Si (0.6958, 0.4473, 0.1945)  3 Cu 2.41-2.51, 2 Si 2.46-2.48, 2 As 2.46-2.52
As (0.3229, 0.5090, 0.9583)  2 Cu 2.42-2.49, 2 Si 2.46-2.52
As (0.9736, 0.0867, 0.6205)  3 Cu 2.46-2.53, 2 Si 2.50-2.52



Compound: CuSiAs2
Source: Alexandria
Functional: GGA-PBE
Structure: optimized geometry

Properties
**E_form (uncorrected)**: 0.188 eV/atom

a b c (Å): 7.0078 3.6078 6.0625
angles (deg): 90.00 112.56 90.00
With the nearest neighbours (Å) after each atom.
Space group Cm (No. 8)
One atom of each set of equivalent atoms:
Cu (0.0000, 0.0000, 0.0000)  3 As 2.38-2.56, 3 Si 2.40-2.54
Si (0.2351, 0.0000, 0.7991)  3 Cu 2.40-2.54, 3 As 2.50-2.68
As (0.2703, 0.5000, 0.2044)  3 Cu 2.38-2.56
As (0.4513, 0.0000, 0.5531)  3 Si 2.50-2.68, 2 As 2.70



Compound: CuSiAs
Source: Alexandria
Functional: GGA-PBE
Structure: optimized geometry

Properties
**E_form (uncorrected)**: 0.155 eV/atom

a b c (Å): 4.0985 4.1131 6.4267
angles (deg): 78.30 89.45 83.96
With the nearest neighbours (Å) after each atom.
Space group P1 (No. 1)
One atom of each set of equivalent atoms:
Cu (0.0000, 0.0000, 0.0000)  4 As 2.42-2.53, 1 Si 2.51
Cu (0.4370, 0.6489, 0.3493)  3 Si 2.34-2.49, 2 As 2.42-2.52
Si (0.1738, 0.8051, 0.6661)  2 Si 2.41-2.60, 2 Cu 2.46-2.51, 2 As 2.49-2.57
Si (0.6774, 0.0619, 0.4765)  2 Cu 2.34-2.49, 2 Si 2.41-2.60, 2 As 2.49-2.50
As (0.4659, 0.2431, 0.8065)  2 Cu 2.46-2.53, 3 Si 2.49-2.57
As (0.9749, 0.4418, 0.2053)  4 Cu 2.42-2.52, 1 Si 2.49



Compound: CuSiAs2
Source: Alexandria
Functional: GGA-PBE
Structure: optimized geometry

Properties
**E_form (uncorrected)**: 0.295 eV/atom

a b c (Å): 3.4138 3.5280 11.4872
angles (deg): 90.00 90.00 90.00
With the nearest neighbours (Å) after each atom.
Space group Imm2 (No. 44)
One atom of each set of equivalent atoms:
Cu (0.0000, 0.0000, 0.0000)  6 As 2.61
Si (0.0000, 0.5000, 0.7538)  6 As 2.57-2.65
As (0.0000, 0.0000, 0.4216)  2 Si 2.57, 4 Cu 2.61
As (0.0000, 0.5000, 0.1680)  2 Cu 2.61, 4 Si 2.65



Compound: CuSiAs
Source: Alexandria
Functional: GGA-PBE
Structure: optimized geometry

Properties
**E_form (uncorrected)**: 0.329 eV/atom

a b c (Å): 4.5430 4.5430 2.6945
angles (deg): 90.00 90.00 120.00
With the nearest neighbours (Å) after each atom.
Space group P-6m2 (No. 187)
One atom of each set of equivalent atoms:
Cu (0.0000, 0.0000, 0.0000)  3 As 2.62, 3 Si 2.62, 2 Cu 2.69
Si (0.3333, 0.6667, 0.0000)  3 Cu 2.62, 3 As 2.62, 2 Si 2.69
As (0.6667, 0.3333, 0.0000)  3 Cu 2.62, 3 Si 2.62, 2 As 2.69



Compound: CuSiAs2
Source: Alexandria
Functional: GGA-PBE
Structure: optimized geometry

Properties
**E_form (uncorrected)**: 0.501 eV/atom

a b c (Å): 6.4553 6.4553 6.4553
angles (deg): 90.00 90.00 90.00
With the nearest neighbours (Å) after each atom.
Space group F-43m (No. 216)
One atom of each set of equivalent atoms:
Cu (0.0000, 0.0000, 0.0000)  4 As 2.80, 4 Si 2.80
Si (0.2500, 0.2500, 0.7500)  4 As 2.80, 4 Cu 2.80
As (0.0000, 0.0000, 0.5000)  4 Si 2.80, 4 As 2.80
As (0.2500, 0.2500, 0.2500)  4 As 2.80, 4 Cu 2.80



Compound: CuSiAs2
Source: Alexandria
Functional: GGA-PBE
Structure: optimized geometry

Properties
**E_form (uncorrected)**: 0.431 eV/atom

a b c (Å): 3.6325 3.6885 5.0989
angles (deg): 90.00 90.00 90.00
With the nearest neighbours (Å) after each atom.
Space group Pmmm (No. 47)
One atom of each set of equivalent atoms:
Cu (0.0000, 0.0000, 0.0000)  4 As 2.59
Si (0.0000, 0.5000, 0.5000)  4 As 2.59
As (0.5000, 0.0000, 0.5000)  4 Si 2.59
As (0.5000, 0.5000, 0.0000)  4 Cu 2.59



Compound: CuSiAs2
Source: Alexandria
Functional: GGA-PBE
Structure: optimized geometry

Properties
**E_form (uncorrected)**: 0.314 eV/atom

a b c (Å): 2.7396 2.7396 9.0409
angles (deg): 90.00 90.00 90.00
With the nearest neighbours (Å) after each atom.
Space group P4mm (No. 99)
One atom of each set of equivalent atoms:
Cu (0.0000, 0.0000, 0.0000)  4 Si 2.59, 4 Cu 2.74, 4 As 2.74
Si (0.5000, 0.5000, 0.1896)  4 Cu 2.59, 4 Si 2.74
As (0.0000, 0.0000, 0.4419)  4 As 2.74, 4 Si 2.99
As (0.5000, 0.5000, 0.7857)  4 As 2.74, 4 Cu 2.74



Compound: CuSiAs2
Source: Alexandria
Functional: GGA-PBE
Structure: optimized geometry

Properties
**E_form (uncorrected)**: 0.272 eV/atom

a b c (Å): 3.0110 3.0110 27.3698
angles (deg): 90.00 90.00 120.00
With the nearest neighbours (Å) after each atom.
Space group R3m (No. 160, hexagonal axes)
One atom of each set of equivalent atoms:
Cu (0.0000, 0.0000, 0.0000)  3 Si 2.44, 3 As 2.57
Si (0.0000, 0.0000, 0.2708)  3 Cu 2.44, 3 As 2.63
As (0.0000, 0.0000, 0.5321)  3 Si 2.63
As (0.0000, 0.0000, 0.7360)  3 Cu 2.57



Compound: CuSiAs
Source: Alexandria
Functional: GGA-PBE
Structure: optimized geometry

Properties
**E_form (uncorrected)**: 0.207 eV/atom

a b c (Å): 5.8872 5.8872 5.8872
angles (deg): 90.00 90.00 90.00
With the nearest neighbours (Å) after each atom.
Space group F-43m (No. 216)
One atom of each set of equivalent atoms:
Cu (0.0000, 0.0000, 0.0000)  4 As 2.55, 4 Si 2.55
Si (0.2500, 0.2500, 0.2500)  4 Cu 2.55
As (0.2500, 0.2500, 0.7500)  4 Cu 2.55



Compound: CuSiAs
Source: Alexandria
Functional: GGA-PBE
Structure: optimized geometry

Properties
**E_form (uncorrected)**: 0.093 eV/atom

a b c (Å): 4.2582 12.2077 4.0667
angles (deg): 90.00 90.00 90.00
With the nearest neighbours (Å) after each atom.
Space group Ama2 (No. 40)
One atom of each set of equivalent atoms:
Cu (0.2500, 0.1336, 0.0000)  3 Si 2.43-2.48, 3 As 2.50-2.55
Si (0.2500, 0.4463, 0.2965)  2 As 2.43-2.49, 3 Cu 2.43-2.48, 2 Si 2.50
As (0.2500, 0.3324, 0.8058)  2 Si 2.43-2.49, 3 Cu 2.50-2.55



Compound: CuSiAs
Source: Alexandria
Functional: GGA-PBE
Structure: optimized geometry

Properties
**E_form (uncorrected)**: 0.327 eV/atom

a b c (Å): 2.6266 3.6789 10.4502
angles (deg): 90.00 90.00 90.00
With the nearest neighbours (Å) after each atom.
Space group Imm2 (No. 44)
One atom of each set of equivalent atoms:
Cu (0.0000, 0.0000, 0.0000)  4 Si 2.56, 2 Cu 2.63, 4 As 2.71
Si (0.0000, 0.0000, 0.6149)  4 Cu 2.56, 2 Si 2.63, 1 As 2.69
As (0.0000, 0.0000, 0.3576)  2 As 2.63, 1 Si 2.69, 4 Cu 2.71